The following is a PBE-GGA calculation of CsLiH after structural relaxation, from Alexandria via LeMat-Bulk.

Values from the calculation:
Symmetry: No. 8
Size of the total moment (Bohr magnetons per cell): 0.04
Final energy (Ry/atom): -0.1542
Polymorph energy (0 for the lowest one) (meV/atom): 32

Unit cell a=7.214 b=4.459 c=11.886 alpha=90.00 beta=105.89 gamma=90.00
Atoms (fractional coordinates):
Cs  0.030  0.000  0.104
Cs  0.030  0.500  0.604
Cs  0.671  0.000  0.298
Cs  0.671  0.500  0.798
Li  0.452  0.000  0.566
Li  0.452  0.500  0.066
Li  0.295  0.000  0.847
Li  0.295  0.500  0.347
H  0.722  0.000  0.617
H  0.722  0.500  0.117
H  0.359  0.000  0.704
H  0.359  0.500  0.204